# MgBe

A relaxed structure of MgBe (GGA-PBE, Alexandria).

Output
Symmetry: No. 223
Energy relative to the elements: 129 kJ per mole of atoms
Fermi-level density of states: 5.8 states/eV/cell

Unit cell a=7.1622 b=7.1622 c=7.1622 alpha=90.00 beta=90.00 gamma=90.00
Closest atoms and distances in Å follow each position.
Atoms (fractional coordinates):
Be1 0.7500 0.5000 0.0000  4 Mg 2.53
Be2 0.5000 0.0000 0.7500  4 Mg 2.53
Be3 0.5000 0.0000 0.2500  4 Mg 2.53
Be4 0.0000 0.7500 0.5000  4 Mg 2.53
Be5 0.2500 0.5000 0.0000  4 Mg 2.53
Be6 0.0000 0.2500 0.5000  4 Mg 2.53
Mg1 0.7500 0.0000 0.5000  4 Be 2.53
Mg2 0.0000 0.5000 0.7500  4 Be 2.53
Mg3 0.0000 0.5000 0.2500  4 Be 2.53
Mg4 0.5000 0.2500 0.0000  4 Be 2.53
Mg5 0.2500 0.0000 0.5000  4 Be 2.53
Mg6 0.5000 0.7500 0.0000  4 Be 2.53